Entry 1:
The following is a DFT calculation (PBE) of a geometry-optimized CaPuTl5 structure.

Values from the calculation:
Magnetic moment   5.97 Bohr magnetons per cell
DOS at the Fermi energy   2.391 states/eV per atom
Formation energy from the elements   -0.001 eV per atom

Unit cell a=4.822 b=4.822 c=9.377 alpha=90.00 beta=90.00 gamma=90.00
Fractional positions:
Ca: 0.000 0.000 0.000
Pu: 0.500 0.500 0.500
Tl: 0.000 0.500 0.267
Tl: 0.000 0.500 0.733
Tl: 0.500 0.000 0.267
Tl: 0.500 0.000 0.733
Tl: 0.500 0.500 0.000

---

Entry 2:
The following is a DFT calculation (PBE) of a geometry-optimized CaPuTl structure.

Values from the calculation:
Magnetic moment   13.00 Bohr magnetons per cell
DOS at the Fermi energy   3.430 states/eV per atom
Formation energy from the elements   0.098 eV per atom

Unit cell a=8.293 b=8.293 c=6.797 alpha=96.72 beta=96.72 gamma=24.03
Fractional positions:
Ca: 0.100 0.100 0.394
Ca: 0.900 0.900 0.606
Pu: 0.415 0.415 0.106
Pu: 0.585 0.585 0.894
Tl: 0.247 0.247 0.771
Tl: 0.753 0.753 0.229

---

Entry 3:
The following is a DFT calculation (PBE) of a geometry-optimized Ca5PuTl6 structure.

Values from the calculation:
Magnetic moment   5.88 Bohr magnetons per cell
DOS at the Fermi energy   1.334 states/eV per atom
Formation energy from the elements   -0.359 eV per atom

Unit cell a=9.500 b=9.500 c=5.488 alpha=106.76 beta=106.76 gamma=119.83
Fractional positions:
Ca: 0.000 0.000 0.000
Ca: 0.167 0.833 0.500
Ca: 0.333 0.667 0.000
Ca: 0.667 0.333 0.000
Ca: 0.833 0.167 0.500
Pu: 0.500 0.500 0.500
Tl: 0.085 0.416 0.250
Tl: 0.249 0.249 0.749
Tl: 0.416 0.085 0.250
Tl: 0.584 0.915 0.750
Tl: 0.751 0.751 0.251
Tl: 0.915 0.584 0.750

---

Entry 4:
The following is a DFT calculation (PBE) of a geometry-optimized Ca4PuTl15 structure.

Values from the calculation:
Magnetic moment   5.93 Bohr magnetons per cell
DOS at the Fermi energy   1.371 states/eV per atom
Formation energy from the elements   -0.193 eV per atom

Unit cell a=4.849 b=4.849 c=24.325 alpha=90.00 beta=90.00 gamma=90.00
Fractional positions:
Ca: 0.000 0.000 0.101
Ca: 0.000 0.000 0.302
Ca: 0.000 0.000 0.698
Ca: 0.000 0.000 0.899
Pu: 0.000 0.000 0.500
Tl: 0.000 0.500 0.000
Tl: 0.000 0.500 0.201
Tl: 0.000 0.500 0.402
Tl: 0.000 0.500 0.598
Tl: 0.000 0.500 0.799
Tl: 0.500 0.000 0.000
Tl: 0.500 0.000 0.201
Tl: 0.500 0.000 0.402
Tl: 0.500 0.000 0.598
Tl: 0.500 0.000 0.799
Tl: 0.500 0.500 0.100
Tl: 0.500 0.500 0.301
Tl: 0.500 0.500 0.500
Tl: 0.500 0.500 0.699
Tl: 0.500 0.500 0.900

---

Entry 5:
The following is a DFT calculation (PBE) of a geometry-optimized Ca2PuTl6 structure.

Values from the calculation:
Magnetic moment   11.99 Bohr magnetons per cell
DOS at the Fermi energy   1.696 states/eV per atom
Formation energy from the elements   -0.154 eV per atom

Unit cell a=9.838 b=9.838 c=5.444 alpha=90.00 beta=90.00 gamma=90.00
Fractional positions:
Ca: 0.203 0.203 0.000
Ca: 0.297 0.703 0.500
Ca: 0.703 0.297 0.500
Ca: 0.797 0.797 0.000
Pu: 0.000 0.000 0.500
Pu: 0.500 0.500 0.000
Tl: 0.036 0.340 0.500
Tl: 0.136 0.864 0.000
Tl: 0.160 0.536 0.000
Tl: 0.340 0.036 0.500
Tl: 0.364 0.364 0.500
Tl: 0.464 0.840 0.000
Tl: 0.536 0.160 0.000
Tl: 0.636 0.636 0.500
Tl: 0.660 0.964 0.500
Tl: 0.840 0.464 0.000
Tl: 0.864 0.136 0.000
Tl: 0.964 0.660 0.500

---

Entry 6:
The following is a DFT calculation (PBE) of a geometry-optimized CaPuTl structure.

Values from the calculation:
Magnetic moment   6.62 Bohr magnetons per cell
DOS at the Fermi energy   2.975 states/eV per atom
Formation energy from the elements   0.368 eV per atom

Unit cell a=9.729 b=9.729 c=9.729 alpha=160.59 beta=160.59 gamma=27.59
Fractional positions:
Ca: 0.000 0.000 0.000
Pu: 0.347 0.347 0.000
Tl: 0.174 0.174 0.000

---

Entry 7:
The following is a DFT calculation (PBE) of a geometry-optimized CaPuTl4 structure.

Values from the calculation:
Magnetic moment   6.63 Bohr magnetons per cell
DOS at the Fermi energy   2.996 states/eV per atom
Formation energy from the elements   0.008 eV per atom

Unit cell a=6.333 b=6.333 c=6.333 alpha=60.00 beta=60.00 gamma=60.00
Fractional positions:
Ca: 0.000 0.000 0.000
Pu: 0.750 0.750 0.750
Tl: 0.375 0.375 0.375
Tl: 0.375 0.375 0.874
Tl: 0.375 0.874 0.375
Tl: 0.874 0.375 0.375

---

Entry 8:
The following is a DFT calculation (PBE) of a geometry-optimized CaPu3Tl12 structure.

Values from the calculation:
Magnetic moment   5.66 Bohr magnetons per cell
DOS at the Fermi energy   2.971 states/eV per atom
Formation energy from the elements   -0.070 eV per atom

Unit cell a=4.823 b=4.823 c=19.176 alpha=90.00 beta=90.00 gamma=90.00
Fractional positions:
Ca: 0.000 0.000 0.000
Pu: 0.000 0.000 0.251
Pu: 0.000 0.000 0.500
Pu: 0.000 0.000 0.749
Tl: 0.000 0.500 0.127
Tl: 0.000 0.500 0.375
Tl: 0.000 0.500 0.625
Tl: 0.000 0.500 0.873
Tl: 0.500 0.000 0.127
Tl: 0.500 0.000 0.375
Tl: 0.500 0.000 0.625
Tl: 0.500 0.000 0.873
Tl: 0.500 0.500 0.000
Tl: 0.500 0.500 0.252
Tl: 0.500 0.500 0.500
Tl: 0.500 0.500 0.748

---

Entry 9:
The following is a DFT calculation (PBE) of a geometry-optimized Ca4PuTl5 structure.

Values from the calculation:
Magnetic moment   5.96 Bohr magnetons per cell
DOS at the Fermi energy   1.381 states/eV per atom
Formation energy from the elements   -0.342 eV per atom

Unit cell a=3.865 b=3.865 c=19.521 alpha=90.00 beta=90.00 gamma=90.00
Fractional positions:
Ca: 0.000 0.000 0.100
Ca: 0.000 0.000 0.299
Ca: 0.000 0.000 0.701
Ca: 0.000 0.000 0.900
Pu: 0.000 0.000 0.500
Tl: 0.500 0.500 0.000
Tl: 0.500 0.500 0.199
Tl: 0.500 0.500 0.399
Tl: 0.500 0.500 0.601
Tl: 0.500 0.500 0.801

---

Entry 10:
The following is a DFT calculation (PBE) of a geometry-optimized Ca2PuTl4 structure.

Values from the calculation:
Magnetic moment   5.66 Bohr magnetons per cell
DOS at the Fermi energy   1.645 states/eV per atom
Formation energy from the elements   -0.146 eV per atom

Unit cell a=5.445 b=5.445 c=7.432 alpha=90.00 beta=90.00 gamma=90.00
Fractional positions:
Ca: 0.000 0.000 0.000
Ca: 0.500 0.500 0.500
Pu: 0.000 0.000 0.500
Tl: 0.000 0.500 0.240
Tl: 0.000 0.500 0.760
Tl: 0.500 0.000 0.240
Tl: 0.500 0.000 0.760

---

Entry 11:
The following is a DFT calculation (PBE) of a geometry-optimized CaPu2Tl3 structure.

Values from the calculation:
Magnetic moment   11.58 Bohr magnetons per cell
DOS at the Fermi energy   2.623 states/eV per atom
Formation energy from the elements   -0.132 eV per atom

Unit cell a=3.433 b=3.433 c=14.043 alpha=90.00 beta=90.00 gamma=90.00
Fractional positions:
Ca: 0.000 0.000 0.000
Pu: 0.000 0.000 0.333
Pu: 0.000 0.000 0.667
Tl: 0.500 0.500 0.166
Tl: 0.500 0.500 0.500
Tl: 0.500 0.500 0.834

---

Entry 12:
The following is a DFT calculation (PBE) of a geometry-optimized CaTm2Pu structure.

Values from the calculation:
Magnetic moment   6.36 Bohr magnetons per cell
DOS at the Fermi energy   2.160 states/eV per atom
Formation energy from the elements   0.139 eV per atom

Unit cell a=3.527 b=3.527 c=10.156 alpha=90.00 beta=90.00 gamma=90.00
Fractional positions:
Ca: 0.000 0.000 0.000
Tm: 0.500 0.500 0.275
Tm: 0.500 0.500 0.725
Pu: 0.000 0.000 0.500

---

Entry 13:
The following is a DFT calculation (PBE) of a geometry-optimized CaTm2Pu structure.

Values from the calculation:
Magnetic moment   5.95 Bohr magnetons per cell
DOS at the Fermi energy   3.077 states/eV per atom
Formation energy from the elements   0.250 eV per atom

Unit cell a=12.431 b=12.431 c=12.431 alpha=15.99 beta=15.99 gamma=15.99
Fractional positions:
Ca: 0.000 0.000 0.000
Tm: 0.092 0.092 0.092
Tm: 0.908 0.908 0.908
Pu: 0.500 0.500 0.500

---

Entry 14:
The following is a DFT calculation (PBE) of a geometry-optimized CaTm2Pu structure.

Values from the calculation:
Magnetic moment   6.37 Bohr magnetons per cell
DOS at the Fermi energy   3.062 states/eV per atom
Formation energy from the elements   0.156 eV per atom

Unit cell a=11.863 b=11.863 c=11.863 alpha=17.10 beta=17.10 gamma=17.10
Fractional positions:
Ca: 0.000 0.000 0.000
Tm: 0.245 0.245 0.245
Tm: 0.423 0.423 0.423
Pu: 0.834 0.834 0.834

---

Entry 15:
The following is a DFT calculation (PBE) of a geometry-optimized CaYPu structure.

Values from the calculation:
Magnetic moment   2.48 Bohr magnetons per cell
DOS at the Fermi energy   2.114 states/eV per atom
Formation energy from the elements   0.589 eV per atom

Unit cell a=8.902 b=8.902 c=8.902 alpha=150.99 beta=144.90 gamma=46.15
Fractional positions:
Ca: 0.105 0.105 0.000
Ca: 0.895 0.895 0.000
Y: 0.320 0.320 0.000
Y: 0.680 0.680 0.000
Pu: 0.500 0.251 0.751
Pu: 0.500 0.749 0.249

---

Entry 16:
The following is a DFT calculation (PBE) of a geometry-optimized CaYPu structure.

Values from the calculation:
Magnetic moment   6.64 Bohr magnetons per cell
DOS at the Fermi energy   3.373 states/eV per atom
Formation energy from the elements   0.218 eV per atom

Unit cell a=8.307 b=8.307 c=8.307 alpha=155.42 beta=155.42 gamma=35.03
Fractional positions:
Ca: 0.000 0.000 0.000
Y: 0.321 0.321 0.000
Pu: 0.670 0.670 0.000

---

Entry 17:
The following is a DFT calculation (PBE) of a geometry-optimized CaYPu4 structure.

Values from the calculation:
Magnetic moment   24.77 Bohr magnetons per cell
DOS at the Fermi energy   4.963 states/eV per atom
Formation energy from the elements   0.302 eV per atom

Unit cell a=6.342 b=6.342 c=6.342 alpha=60.00 beta=60.00 gamma=60.00
Fractional positions:
Ca: 0.000 0.000 0.000
Y: 0.750 0.750 0.750
Pu: 0.376 0.376 0.376
Pu: 0.376 0.376 0.873
Pu: 0.376 0.873 0.376
Pu: 0.873 0.376 0.376

---

Entry 18:
The following is a DFT calculation (PBE) of a geometry-optimized Ca2PuZn6 structure.

Values from the calculation:
Magnetic moment   5.75 Bohr magnetons per cell
DOS at the Fermi energy   1.303 states/eV per atom
Formation energy from the elements   -0.213 eV per atom

Unit cell a=7.829 b=7.829 c=3.621 alpha=90.00 beta=90.00 gamma=120.00
Fractional positions:
Ca: 0.333 0.667 0.000
Ca: 0.667 0.333 0.000
Pu: 0.000 0.000 0.000
Zn: 0.000 0.333 0.500
Zn: 0.000 0.667 0.500
Zn: 0.333 0.000 0.500
Zn: 0.333 0.333 0.500
Zn: 0.667 0.000 0.500
Zn: 0.667 0.667 0.500

---

Entry 19:
The following is a DFT calculation (PBE) of a geometry-optimized CaPu2Zn9 structure.

Values from the calculation:
Magnetic moment   11.31 Bohr magnetons per cell
DOS at the Fermi energy   1.294 states/eV per atom
Formation energy from the elements   -0.177 eV per atom

Unit cell a=9.387 b=9.387 c=9.387 alpha=33.37 beta=33.37 gamma=33.37
Fractional positions:
Ca: 0.000 0.000 0.000
Pu: 0.149 0.149 0.149
Pu: 0.851 0.851 0.851
Zn: 0.079 0.583 0.583
Zn: 0.335 0.335 0.335
Zn: 0.417 0.417 0.921
Zn: 0.417 0.921 0.417
Zn: 0.500 0.500 0.500
Zn: 0.583 0.079 0.583
Zn: 0.583 0.583 0.079
Zn: 0.665 0.665 0.665
Zn: 0.921 0.417 0.417

---

Entry 20:
The following is a DFT calculation (PBE) of a geometry-optimized CaPuZn4 structure.

Values from the calculation:
Magnetic moment   5.70 Bohr magnetons per cell
DOS at the Fermi energy   1.886 states/eV per atom
Formation energy from the elements   -0.150 eV per atom

Unit cell a=5.529 b=5.529 c=5.529 alpha=60.00 beta=60.00 gamma=60.00
Fractional positions:
Ca: 0.000 0.000 0.000
Pu: 0.250 0.250 0.250
Zn: 0.125 0.625 0.625
Zn: 0.625 0.125 0.625
Zn: 0.625 0.625 0.125
Zn: 0.625 0.625 0.625

---

Entry 21:
The following is a DFT calculation (PBE) of a geometry-optimized CaPuZn2 structure.

Values from the calculation:
Magnetic moment   5.57 Bohr magnetons per cell
DOS at the Fermi energy   2.359 states/eV per atom
Formation energy from the elements   -0.124 eV per atom

Unit cell a=5.260 b=5.260 c=3.393 alpha=90.00 beta=90.00 gamma=90.00
Fractional positions:
Ca: 0.000 0.000 0.000
Pu: 0.500 0.500 0.000
Zn: 0.000 0.500 0.500
Zn: 0.500 0.000 0.500

---

Entry 22:
The following is a DFT calculation (PBE) of a geometry-optimized CaPu3Zn8 structure.

Values from the calculation:
Magnetic moment   5.56 Bohr magnetons per cell
DOS at the Fermi energy   1.944 states/eV per atom
Formation energy from the elements   -0.162 eV per atom

Unit cell a=5.521 b=5.521 c=8.768 alpha=90.00 beta=90.00 gamma=120.00
Fractional positions:
Ca: 0.000 0.000 0.000
Pu: 0.000 0.000 0.390
Pu: 0.667 0.333 0.497
Pu: 0.667 0.333 0.864
Zn: 0.168 0.337 0.687
Zn: 0.168 0.832 0.687
Zn: 0.333 0.667 0.433
Zn: 0.333 0.667 0.937
Zn: 0.501 0.002 0.186
Zn: 0.501 0.499 0.186
Zn: 0.663 0.832 0.687
Zn: 0.998 0.499 0.186

---

Entry 23:
The following is a DFT calculation (PBE) of a geometry-optimized CaPuZn17 structure.

Values from the calculation:
Magnetic moment   5.53 Bohr magnetons per cell
DOS at the Fermi energy   0.763 states/eV per atom
Formation energy from the elements   -0.161 eV per atom

Unit cell a=6.834 b=6.834 c=6.834 alpha=82.77 beta=82.77 gamma=82.77
Fractional positions:
Ca: 0.000 0.000 0.000
Pu: 0.326 0.326 0.326
Zn: 0.016 0.016 0.499
Zn: 0.016 0.499 0.016
Zn: 0.163 0.661 0.661
Zn: 0.311 0.311 0.820
Zn: 0.311 0.820 0.311
Zn: 0.366 0.662 0.959
Zn: 0.366 0.959 0.662
Zn: 0.499 0.016 0.016
Zn: 0.561 0.561 0.561
Zn: 0.661 0.163 0.661
Zn: 0.661 0.661 0.163
Zn: 0.662 0.366 0.959
Zn: 0.662 0.959 0.366
Zn: 0.762 0.762 0.762
Zn: 0.820 0.311 0.311
Zn: 0.959 0.366 0.662
Zn: 0.959 0.662 0.366

---

Entry 24:
The following is a DFT calculation (PBE) of a geometry-optimized CaPuZn10 structure.

Values from the calculation:
Magnetic moment   5.44 Bohr magnetons per cell
DOS at the Fermi energy   1.175 states/eV per atom
Formation energy from the elements   -0.170 eV per atom

Unit cell a=4.267 b=5.350 c=9.296 alpha=90.00 beta=90.00 gamma=90.00
Fractional positions:
Ca: 0.000 0.000 0.000
Pu: 0.000 0.500 0.500
Zn: 0.000 0.000 0.331
Zn: 0.000 0.000 0.669
Zn: 0.000 0.500 0.165
Zn: 0.000 0.500 0.835
Zn: 0.500 0.000 0.500
Zn: 0.500 0.255 0.257
Zn: 0.500 0.255 0.743
Zn: 0.500 0.500 0.000
Zn: 0.500 0.745 0.257
Zn: 0.500 0.745 0.743